The following is a DFT calculation (PBE-GGA) of a relaxed Zr4Cd5Cu2 crystal.

Crystal system: monoclinic
Formation energy in eV/atom: -0.097

Lattice parameters (Å, degrees): 2.968 7.652 9.782 93.65 90.00 90.00
Sites, in units of the cell vectors:
Cd: 0.000 0.500 0.000
Cd: 0.000 0.802 0.836
Cd: 0.000 0.438 0.695
Cd: 0.000 0.562 0.305
Cd: 0.000 0.198 0.164
Cu: 0.000 0.056 0.633
Cu: 0.000 0.944 0.367
Zr: 0.500 0.753 0.550
Zr: 0.500 0.247 0.450
Zr: 0.500 0.849 0.127
Zr: 0.500 0.151 0.873